Below is a geometry-optimized Ac4Te2AsPb structure, with properties calculated at the GGA-PBE level.

Space group: No. 10
ΔE_f (raw) (meV per atom): -1302

The structure in extended XYZ format:
```
8
Lattice="4.736 0.000 0.000 0.000 8.182 0.134 0.000 -2.866 7.723" Properties=species:S:1:pos:R:3 pbc="T T T"
Ac 2.368 1.390 1.852
Ac 2.368 3.926 6.005
Ac 0.000 -0.054 5.987
Ac 0.000 5.369 1.871
Te 2.368 -1.433 3.862
Te 0.000 2.658 3.929
As 2.368 4.091 0.067
Pb 0.000 0.000 0.000
```